(1)
Material: Os3PdS
Method: DFT, PBEsol
State: relaxed

Geometry as POSCAR:
```
Os3PdS
1.0
4.697 0.000 0.000
0.000 4.697 0.000
0.000 0.000 4.697
Os Pd S
3 1 1
Direct
0.000 0.000 0.500
0.000 0.500 0.000
0.500 0.000 0.000
0.000 0.000 0.000
0.500 0.500 0.500
```

Calculated values
- space group = No. 221
- polymorph energy (0 for the lowest one) (eV/atom) = 1.983

---

(2)
Material: La2TaSi
Method: DFT, PBEsol
State: relaxed

Geometry as POSCAR:
```
La2TaSi
1.0
8.684 -1.744 0.000
8.684 1.744 0.000
-0.771 0.000 3.615
La Ta Si
2 1 1
Direct
0.155 0.155 0.154
0.845 0.845 0.846
0.000 0.000 0.500
0.500 0.500 0.000
```

Calculated values
- space group = No. 12

---

| no. | uncorrected formation energy (eV/atom) |
| --- | --- |
| 1 | 3.16 |
| 2 | 0.03 |